SrAc6Co3, optimized geometry, DFT PBE-GGA; crystal system = monoclinic; size of the total moment = 0.00 μB/f.u.; energy of formation from the pure elements = 0.0101 eV per atom
1.0
-3.877 1.450 0.594
-0.467 -6.057 11.736
4.955 11.963 3.138
Ac Sr Co
12 2 6
Direct
0.750 0.930 0.089
0.750 0.666 0.243
0.250 0.612 0.958
0.250 0.754 0.527
0.750 0.388 0.042
0.250 0.334 0.757
0.250 0.476 0.365
0.250 0.200 0.192
0.750 0.524 0.635
0.750 0.800 0.808
0.750 0.246 0.473
0.250 0.070 0.911
0.750 0.031 0.639
0.250 0.969 0.361
0.750 0.477 0.846
0.250 0.523 0.154
0.750 0.149 0.052
0.750 0.623 0.453
0.250 0.377 0.547
0.250 0.851 0.948


Na3Be2H8, optimized geometry, DFT PBE-GGA; crystal system = trigonal; VASP energy = -38.40 eV/cell; size of the total moment = 0.97 μB/f.u.
1.0
-1.386 4.519 1.380
-4.618 0.806 1.508
-0.356 0.541 6.660
H Be Na
8 2 3
Direct
0.730 0.236 0.305
0.660 0.660 0.019
0.764 0.270 0.695
0.270 0.764 0.695
0.340 0.340 0.981
0.730 0.730 0.305
0.236 0.730 0.305
0.270 0.270 0.695
0.421 0.421 0.738
0.579 0.579 0.262
0.211 0.211 0.368
0.789 0.789 0.632
0.000 0.000 0.000


CdIn2W, optimized geometry, DFT PBE-GGA; crystal system = orthorhombic; size of the total moment = 0.00 μB/f.u.; energy of formation from the pure elements = 0.5478 eV per atom
1.0
-2.897 -0.099 -4.462
1.314 -4.952 1.434
-2.533 -0.198 1.646
In Cd W
2 1 1
Direct
0.500 0.500 0.000
0.000 0.000 0.000
0.000 0.500 0.500
0.500 0.000 0.500


Ac3As2PPd9, optimized geometry, DFT PBE-GGA; crystal system = trigonal; size of the total moment = 0.00 μB/f.u.; energy of formation from the pure elements = -0.7300 eV per atom
1.0
6.773 0.000 0.000
-3.386 5.865 0.000
0.000 0.000 8.212
Pd As Ac P
9 2 3 1
Direct
0.706 0.853 0.313
0.294 0.147 0.687
0.147 0.853 0.313
0.853 0.706 0.687
0.147 0.294 0.313
0.500 0.500 0.000
0.000 0.500 0.000
0.500 0.000 0.000
0.853 0.147 0.687
0.333 0.667 0.187
0.667 0.333 0.813
0.667 0.333 0.338
0.333 0.667 0.662
0.000 0.000 0.000
0.000 0.000 0.500